{"formula": "YCrAs2O8", "functional": "GGA+U", "state": "relaxed", "dft_energy_ev_per_atom": -6.9995, "space_group": "I-4m2", "magmom_total_mub_per_fu": 3.0, "lattice": [[5.815, 0.100, 0.000], [-2.490, 5.256, 0.000], [-1.663, -2.678, 4.887]], "species": ["O", "O", "O", "O", "O", "O", "O", "O", "Y", "As", "As", "Cr"], "fractional_positions": [[0.506, 0.686, 0.820], [0.931, 0.241, 0.311], [0.931, 0.620, 0.689], [0.380, 0.069, 0.311], [0.314, 0.494, 0.180], [0.759, 0.069, 0.689], [0.314, 0.134, 0.820], [0.866, 0.686, 0.180], [0.250, 0.750, 0.500], [0.500, 0.500, 0.000], [0.750, 0.250, 0.500], [0.000, 0.000, 0.000]]}